No. 1
DFT (meta-GGA SCAN) results for a PBEsol-optimized structure of Be2ZnAs.

The structure belongs to space group Immm (No. 71); the cell edges are 3.5417, 3.9934 and 7.1652 Å and the angles 90.00°, 90.00° and 90.00°. The inequivalent atoms are Be at (0.0000, 0.0000, 0.2460), Zn at (0.0000, 0.5000, 0.0000) and As at (0.0000, 0.5000, 0.5000).

As for the energy of formation: 0.381 eV per atom. The calculation puts the polymorph energy (0 for the lowest one) at 25 meV/atom. For the total energy, the calculation gives -40.9 eV per formula unit.


No. 2
DFT (meta-GGA SCAN) results for a PBEsol-optimized structure of BeZnAs.

The structure belongs to space group I4mm (No. 107); the cell edges are 2.7818, 2.7818 and 11.0076 Å and the angles 90.00°, 90.00° and 90.00°. The inequivalent atoms are Be at (0.0000, 0.0000, 0.0000), Zn at (0.0000, 0.0000, 0.6351) and As at (0.0000, 0.0000, 0.3496).

As for the energy of formation: 0.326 eV per atom. For the total energy, the calculation gives -37.1 eV per formula unit.